Record 1
Below is an optimized crystal structure of TaFe2Co, with properties calculated at the PBE level.

Cell: 4.0332 2.6488 4.9942 Å, 77.56 90.00 90.00°
Each line ends with the local moment (μB).
Sites, in units of the cell vectors:
Fe (0.5000, 0.2357, 0.2287)  2.21
Fe (0.0000, 0.0032, 0.0034)  2.25
Ta (0.0000, 0.4966, 0.5021)  -0.33
Co (0.5000, 0.7644, 0.7658)  1.34

As for the symmetry: Pm (6). For the volume, the calculation gives 13.0 A^3/atom. The value obtained for the formation energy is 0.021 eV per atom. The value obtained for the total magnetization is 5.306 μB per formula unit. As for the total energy: -8.950 eV per atom.

Record 2
Below is an optimized crystal structure of Mg2Te2O7, with properties calculated at the PBE level.

Cell: 5.4025 5.3633 5.3633 Å, 101.05 86.04 86.04°
Sites, in units of the cell vectors:
Te (0.6202, 0.2605, 0.2605)
Mg (0.0472, 0.7233, 0.3268)
O (0.3536, 0.4725, 0.4725)
O (0.7307, 0.9504, 0.3365)
O (0.7307, 0.3365, 0.9504)
O (0.1815, 0.6204, 0.9612)
O (0.8567, 0.4510, 0.4510)
Mg (0.0472, 0.3268, 0.7233)
O (0.3349, 0.0962, 0.0962)
O (0.1815, 0.9612, 0.6204)
Te (0.4160, 0.8012, 0.8012)

As for the symmetry: Cm (8). For the volume, the calculation gives 13.8 A^3/atom. The value obtained for the total magnetization is 0.000 μB per formula unit. The uncorrected formation energy comes out at -1.6450 eV per atom. As for the total energy: -5.661 eV per atom.